PBE Ca6ZnGa3, optimized geometry; calculated density = 3142 kg/m3; E_form = -0.306 eV per atom; electronic total energy = -2.542 eV per atom; symmetry = P2_1/m (11)
1.0
9.225 0.000 0.000
0.000 5.249 0.000
-4.353 0.000 11.245
Ca Zn Ga
12 2 6
direct
0.021 0.250 0.411
0.166 0.750 0.169
0.250 0.250 0.999
0.338 0.750 0.824
0.369 0.250 0.640
0.379 0.250 0.361
0.621 0.750 0.639
0.631 0.750 0.360
0.662 0.250 0.176
0.750 0.750 0.001
0.834 0.250 0.831
0.979 0.750 0.589
0.457 0.750 0.093
0.543 0.250 0.907
0.029 0.750 0.873
0.086 0.250 0.722
0.256 0.750 0.469
0.744 0.250 0.531
0.914 0.750 0.278
0.971 0.250 0.127